[1]
6
Lattice="0.0000 4.7076 4.7076 4.7076 0.0000 4.7076 4.7076 4.7076 0.0000" Properties=species:S:1:pos:R:3 comment="PBEsol K4ReMo, relaxed" ef_ev_per_fu=13.000 space_group="No. 216" pbc="T T T"
K 1.1738 1.1738 1.1738
K 3.5338 3.5338 1.1738
K 3.5338 1.1738 3.5338
K 1.1738 3.5338 3.5338
Re 7.0614 7.0614 7.0614
Mo 4.7076 4.7076 4.7076



[2]
8
Lattice="11.9300 0.0000 0.0000 0.0000 4.1187 0.0000 -0.0064 0.0000 4.7284" Properties=species:S:1:pos:R:3 comment="PBEsol LiLaTe2, relaxed" e_form_raw_ev_per_atom=-1.2637 space_group="No. 8" pbc="T T T"
Li 0.0000 0.0000 0.0000
Li 5.9650 2.0593 0.0000
La 3.2033 2.0593 2.3446
La 9.1683 0.0000 2.3446
Te 2.6529 0.0000 4.7079
Te 5.7383 0.0000 2.3452
Te 8.6179 2.0593 4.7079
Te 11.7033 2.0593 2.3452



[3]
5
Lattice="6.0572 0.0000 0.0000 0.0000 6.0572 0.0000 0.0000 0.0000 6.0572" Properties=species:S:1:pos:R:3 comment="PBEsol CsAg3C, relaxed" ef_ev_per_fu=14.245 space_group="No. 221" pbc="T T T"
Cs 0.0000 0.0000 0.0000
Ag 0.0000 0.0000 3.0286
Ag 0.0000 3.0286 0.0000
Ag 3.0286 0.0000 0.0000
C 3.0286 3.0286 3.0286